1.
This record from Alexandria via LeMat-Bulk describes a geometry-optimized CeNp2Ga9 structure. The functional is GGA-PBE.

The structure in POSCAR format:
```
CeNp2Ga9
1.0
5.523 0.000 0.000
2.762 4.783 0.000
2.762 1.594 8.829
Ce Np Ga
1 2 9
Cartesian
0.000 0.000 0.000
8.285 4.783 3.772
2.762 1.594 5.057
5.523 3.189 0.080
5.523 3.189 8.748
5.523 3.189 4.414
4.105 2.370 2.244
6.942 2.370 2.244
5.523 4.827 2.244
6.942 4.008 6.585
5.523 1.551 6.585
4.105 4.008 6.585
```

## Properties
Crystal system   trigonal
Fermi-level density of states   1.6395 states/eV/atom


2.
This record from Alexandria via LeMat-Bulk describes a geometry-optimized CeNp2Ga9 structure. The functional is GGA-PBE.

The structure in POSCAR format:
```
CeNp2Ga9
1.0
-0.255 -4.249 0.541
4.214 -0.151 0.797
-2.314 1.739 12.565
Ce Np Ga
1 2 9
Cartesian
0.000 0.000 0.000
-0.776 0.583 4.215
-1.538 1.155 8.350
1.979 -2.200 0.669
1.205 -1.619 4.872
0.439 -1.043 9.031
-0.523 -1.827 2.420
-1.285 -1.255 6.553
-2.046 -0.683 10.686
1.711 0.222 2.548
0.950 0.794 6.681
0.188 1.366 10.814
```

## Properties
Crystal system   tetragonal
Fermi-level density of states   1.7654 states/eV/atom


Record order is preserved below.
Energy of formation: -248 -348 kJ/mol of formula units
Record order is preserved below.
Size of the total moment: 7.94 8.43 Bohr magnetons per cell